[1]
Computed, not measured: crystalline TeAu3Cl at its relaxed geometry at the PBEsol level of DFT.

Formation energy from raw total energies = 482 meV per atom

Lattice parameters (Å, degrees): 5.125 5.125 5.125 90.00 90.00 90.00
Space group Pm-3m (No. 221)
Symmetry-distinct sites (fractional):
Te 0.000 0.000 0.000
Au 0.000 0.000 0.500
Cl 0.500 0.500 0.500

***

[2]
Computed, not measured: crystalline Mg4MoCl at its relaxed geometry at the PBEsol level of DFT.

Formation energy from raw total energies = 614 meV per atom

Lattice parameters (Å, degrees): 7.882 7.882 7.882 90.00 90.00 90.00
Space group F-43m (No. 216)
Symmetry-distinct sites (fractional):
Mg 0.123 0.123 0.377
Mo 0.250 0.250 0.750
Cl 0.000 0.000 0.000

***

[3]
Computed, not measured: crystalline RbGeO2 at its relaxed geometry at the PBEsol level of DFT.

Formation energy from raw total energies = -1415 meV per atom

Lattice parameters (Å, degrees): 5.929 5.929 8.361 90.00 90.00 90.00
Space group I-42d (No. 122)
Symmetry-distinct sites (fractional):
Rb 0.000 0.000 0.000
Ge 0.000 0.000 0.500
O 0.106 0.750 0.625

***

[4]
Computed, not measured: crystalline Ca6Cd32Cu at its relaxed geometry at the PBEsol level of DFT.

Energy of formation = -0.235 eV/atom

Lattice parameters (Å, degrees): 9.481 9.481 9.481 90.00 90.00 90.00
Space group Pm-3 (No. 200)
Symmetry-distinct sites (fractional):
Ca 0.000 0.296 0.500
Cd 0.000 0.000 0.239
Cd 0.000 0.500 0.174
Cd 0.219 0.219 0.219
Cd 0.241 0.500 0.349
Cu 0.500 0.500 0.500

***

[5]
Computed, not measured: crystalline LaW9O28 at its relaxed geometry at the PBEsol level of DFT.

Formation energy from raw total energies = -2198 meV per atom

Lattice parameters (Å, degrees): 12.7831 12.7831 3.9060 90.00 90.00 120.00
Space group P6mm (No. 183)
Symmetry-distinct sites (fractional):
La 0.0000 0.0000 0.0000
W 0.0000 0.5000 0.0211
W 0.1680 0.3361 0.9287
O 0.0000 0.0000 0.5000
O 0.0000 0.2088 0.9667
O 0.0000 0.5000 0.4833
O 0.1182 0.4514 0.9727
O 0.1672 0.3344 0.4639

***

[6]
Computed, not measured: crystalline Cs2KNiF6 at its relaxed geometry at the PBEsol level of DFT.

Formation energy from raw total energies = -2404 meV per atom

Lattice parameters (Å, degrees): 8.849 8.849 8.849 90.00 90.00 90.00
Space group Fm-3m (No. 225)
Symmetry-distinct sites (fractional):
Cs 0.250 0.250 0.250
K 0.000 0.000 0.000
Ni 0.000 0.000 0.500
F 0.000 0.000 0.287

***

[7]
Computed, not measured: crystalline BaMnI2N at its relaxed geometry at the PBEsol level of DFT.

Formation energy from raw total energies = -470 meV per atom

Lattice parameters (Å, degrees): 5.881 5.881 3.708 90.00 90.00 90.00
Space group P4/mmm (No. 123)
Symmetry-distinct sites (fractional):
Ba 0.000 0.000 0.000
Mn 0.500 0.500 0.500
I 0.000 0.500 0.500
N 0.500 0.500 0.000

***

[8]
Computed, not measured: crystalline TlRhOF2 at its relaxed geometry at the PBEsol level of DFT.

Formation energy from raw total energies = -170 meV per atom

Lattice parameters (Å, degrees): 4.393 4.393 4.187 90.00 90.00 90.00
Space group P4/mmm (No. 123)
Symmetry-distinct sites (fractional):
Tl 0.000 0.000 0.000
Rh 0.500 0.500 0.500
O 0.000 0.000 0.500
F 0.000 0.500 0.000

***

[9]
Computed, not measured: crystalline MgBeRu2 at its relaxed geometry at the PBEsol level of DFT.

Energy of formation = 0.269 eV/atom

Lattice parameters (Å, degrees): 4.085 4.085 3.023 90.00 90.00 90.00
Space group P4/mmm (No. 123)
Symmetry-distinct sites (fractional):
Mg 0.000 0.000 0.000
Be 0.500 0.500 0.000
Ru 0.000 0.500 0.500

***

[10]
Computed, not measured: crystalline FeCo3O8 at its relaxed geometry at the PBEsol level of DFT.

Formation energy from raw total energies = -998 meV per atom

Lattice parameters (Å, degrees): 5.5150 5.5150 8.3657 90.00 90.00 120.00
Space group P6_3mc (No. 186)
Symmetry-distinct sites (fractional):
Fe 0.3333 0.6667 0.0000
Co 0.1673 0.3347 0.2826
O 0.0000 0.0000 0.1702
O 0.0422 0.5211 0.1502
O 0.1688 0.3377 0.8902
O 0.3333 0.6667 0.3934

***

[11]
Computed, not measured: crystalline Li2VO2F2 at its relaxed geometry at the PBEsol level of DFT.

E above lowest polymorph = 38.0 meV/atom
Formation energy from raw total energies = -2627 meV per atom

Lattice parameters (Å, degrees): 5.602 5.809 8.429 90.00 90.00 90.00
Space group I2_12_12_1 (No. 24)
Symmetry-distinct sites (fractional):
Li 0.000 0.250 0.120
Li 0.007 0.500 0.750
V 0.250 0.237 0.500
O 0.002 0.466 0.504
F 0.241 0.245 0.734

***

Number 1: DFT total energy -2.9793 eV per atom. Number 2: DFT total energy -2.8271 eV per atom. Number 3: DFT total energy -5.5312 eV per atom. Number 4: DFT total energy -1.6565 eV per atom. Number 5: DFT total energy -9.4764 eV per atom. Number 6: DFT total energy -4.4782 eV per atom. Number 7: DFT total energy -5.2642 eV per atom. Number 8: DFT total energy -4.1450 eV per atom. Number 9: DFT total energy -6.2462 eV per atom. Number 10: DFT total energy -7.1788 eV per atom. Number 11: DFT total energy -6.6154 eV per atom.